Entry 1:
# CaBe2Ir GGA-PBE relaxed
data_CaBe2Ir
_space_group_name_H-M_alt 'F -4 3 m'
_space_group_IT_number 216
_space_group_name_Hall 'F -4 2 3'
_cell_length_a 6.214
_cell_length_b 6.214
_cell_length_c 6.214
_cell_angle_alpha 90.00
_cell_angle_beta 90.00
_cell_angle_gamma 90.00
loop_
_atom_site_label
_atom_site_fract_x
_atom_site_fract_y
_atom_site_fract_z
Ca1 0.000 0.000 0.000
Be1 0.000 0.000 0.500
Be2 0.250 0.250 0.750
Ir1 0.250 0.250 0.250
# crystal system = cubic
# formation energy = 0.334 eV per atom


Entry 2:
# AcPdPt2 GGA-PBE relaxed
data_AcPdPt2
_space_group_name_H-M_alt 'P 4/m m m'
_space_group_IT_number 123
_space_group_name_Hall '-P 4 2'
_cell_length_a 3.768
_cell_length_b 3.768
_cell_length_c 5.883
_cell_angle_alpha 90.00
_cell_angle_beta 90.00
_cell_angle_gamma 90.00
loop_
_atom_site_label
_atom_site_fract_x
_atom_site_fract_y
_atom_site_fract_z
Ac1 0.000 0.000 0.000
Pd1 0.000 0.000 0.500
Pt1 0.500 0.500 0.269
# crystal system = tetragonal
# formation energy = -0.519 eV per atom


Entry 3:
# CrTe2CN GGA-PBE relaxed
data_CrTe2CN
_space_group_name_H-M_alt 'P 4/m m m'
_space_group_IT_number 123
_space_group_name_Hall '-P 4 2'
_cell_length_a 5.085
_cell_length_b 5.085
_cell_length_c 3.494
_cell_angle_alpha 90.00
_cell_angle_beta 90.00
_cell_angle_gamma 90.00
loop_
_atom_site_label
_atom_site_fract_x
_atom_site_fract_y
_atom_site_fract_z
Cr1 0.000 0.000 0.000
Te1 0.000 0.500 0.000
C1 0.500 0.500 0.500
N1 0.000 0.000 0.500
# crystal system = tetragonal
# energy relative to the elements, uncorrected = 1.34 eV per atom


Entry 4:
# Ca2MgSn GGA-PBE relaxed
data_Ca2MgSn
_space_group_name_H-M_alt 'P 4/m m m'
_space_group_IT_number 123
_space_group_name_Hall '-P 4 2'
_cell_length_a 5.148
_cell_length_b 5.148
_cell_length_c 4.311
_cell_angle_alpha 90.00
_cell_angle_beta 90.00
_cell_angle_gamma 90.00
loop_
_atom_site_label
_atom_site_fract_x
_atom_site_fract_y
_atom_site_fract_z
Ca1 0.000 0.500 0.000
Mg1 0.000 0.000 0.500
Sn1 0.500 0.500 0.500
# crystal system = tetragonal
# formation energy = -0.429 eV per atom


Entry 5:
# Sc2Ga2Sn GGA-PBE relaxed
data_Sc2Ga2Sn
_space_group_name_H-M_alt 'P 4/m b m'
_space_group_IT_number 127
_space_group_name_Hall '-P 4 2ab'
_cell_length_a 7.029
_cell_length_b 7.029
_cell_length_c 4.095
_cell_angle_alpha 90.00
_cell_angle_beta 90.00
_cell_angle_gamma 90.00
loop_
_atom_site_label
_atom_site_fract_x
_atom_site_fract_y
_atom_site_fract_z
Sc1 0.173 0.327 0.000
Ga1 0.124 0.624 0.500
Sn1 0.000 0.000 0.500
# crystal system = tetragonal
# formation energy = -0.560 eV per atom


Entry 6:
# K3Rb9Na2 GGA-PBE relaxed
data_K3Rb9Na2
_space_group_name_H-M_alt 'I m m m'
_space_group_IT_number 71
_space_group_name_Hall '-I 2 2'
_cell_length_a 4.784
_cell_length_b 21.188
_cell_length_c 22.177
_cell_angle_alpha 90.00
_cell_angle_beta 90.00
_cell_angle_gamma 90.00
loop_
_atom_site_label
_atom_site_fract_x
_atom_site_fract_y
_atom_site_fract_z
K1 0.000 0.000 0.000
K2 0.000 0.236 0.000
Rb1 0.000 0.000 0.500
Rb2 0.000 0.167 0.337
Rb3 0.000 0.390 0.348
Na1 0.000 0.500 0.178
# crystal system = orthorhombic
# formation energy = 0.038 eV per atom


Entry 7:
# ScIr2Br GGA-PBE relaxed
data_ScIr2Br
_space_group_name_H-M_alt 'F -4 3 m'
_space_group_IT_number 216
_space_group_name_Hall 'F -4 2 3'
_cell_length_a 6.533
_cell_length_b 6.533
_cell_length_c 6.533
_cell_angle_alpha 90.00
_cell_angle_beta 90.00
_cell_angle_gamma 90.00
loop_
_atom_site_label
_atom_site_fract_x
_atom_site_fract_y
_atom_site_fract_z
Sc1 0.000 0.000 0.000
Ir1 0.000 0.000 0.500
Ir2 0.250 0.250 0.250
Br1 0.250 0.250 0.750
# crystal system = cubic
# energy relative to the elements, uncorrected = 0.28 eV per atom


Entry 8:
# CaCd2Br GGA-PBE relaxed
data_CaCd2Br
_space_group_name_H-M_alt 'I -4 2 d'
_space_group_IT_number 122
_space_group_name_Hall 'I -4 2bw'
_cell_length_a 9.123
_cell_length_b 9.123
_cell_length_c 5.849
_cell_angle_alpha 90.00
_cell_angle_beta 90.00
_cell_angle_gamma 90.00
loop_
_atom_site_label
_atom_site_fract_x
_atom_site_fract_y
_atom_site_fract_z
Ca1 0.000 0.000 0.000
Cd1 0.250 0.250 0.125
Br1 0.000 0.000 0.500
# crystal system = tetragonal
# energy relative to the elements, uncorrected = -0.51 eV per atom


Entry 9:
# HfTlSb2 GGA-PBE relaxed
data_HfTlSb2
_space_group_name_H-M_alt 'R 3 m'
_space_group_IT_number 160
_space_group_name_Hall 'R 3 -2"'
_cell_length_a 3.8881
_cell_length_b 3.8881
_cell_length_c 26.6379
_cell_angle_alpha 90.00
_cell_angle_beta 90.00
_cell_angle_gamma 120.00
loop_
_atom_site_label
_atom_site_fract_x
_atom_site_fract_y
_atom_site_fract_z
Hf1 0.0000 0.0000 0.0000
Tl1 0.0000 0.0000 0.1663
Sb1 0.0000 0.0000 0.4039
Sb2 0.0000 0.0000 0.5971
# crystal system = trigonal
# energy relative to the elements, uncorrected = -0.18 eV per atom


Entry 10:
# Ce2PrSi GGA-PBE relaxed
data_Ce2PrSi
_space_group_name_H-M_alt 'C m c m'
_space_group_IT_number 63
_space_group_name_Hall '-C 2c 2'
_cell_length_a 3.976
_cell_length_b 11.286
_cell_length_c 9.912
_cell_angle_alpha 90.00
_cell_angle_beta 90.00
_cell_angle_gamma 90.00
loop_
_atom_site_label
_atom_site_fract_x
_atom_site_fract_y
_atom_site_fract_z
Ce1 0.000 0.168 0.031
Pr1 0.000 0.453 0.250
Si1 0.000 0.258 0.750
# crystal system = orthorhombic
# energy relative to the elements, uncorrected = -0.33 eV per atom


Entry 11:
# ZrRh4Se GGA-PBE relaxed
data_ZrRh4Se
_space_group_name_H-M_alt 'F -4 3 m'
_space_group_IT_number 216
_space_group_name_Hall 'F -4 2 3'
_cell_length_a 7.358
_cell_length_b 7.358
_cell_length_c 7.358
_cell_angle_alpha 90.00
_cell_angle_beta 90.00
_cell_angle_gamma 90.00
loop_
_atom_site_label
_atom_site_fract_x
_atom_site_fract_y
_atom_site_fract_z
Zr1 0.000 0.000 0.000
Rh1 0.125 0.125 0.625
Se1 0.250 0.250 0.250
# crystal system = cubic
# energy relative to the elements, uncorrected = -0.12 eV per atom


Entry 12:
# Mg2Be2Co GGA-PBE relaxed
data_Mg2Be2Co
_space_group_name_H-M_alt 'I 4/m m m'
_space_group_IT_number 139
_space_group_name_Hall '-I 4 2'
_cell_length_a 2.888
_cell_length_b 2.888
_cell_length_c 16.649
_cell_angle_alpha 90.00
_cell_angle_beta 90.00
_cell_angle_gamma 90.00
loop_
_atom_site_label
_atom_site_fract_x
_atom_site_fract_y
_atom_site_fract_z
Mg1 0.000 0.000 0.102
Be1 0.000 0.500 0.250
Co1 0.000 0.000 0.500
# crystal system = tetragonal
# formation energy = 0.348 eV per atom


no.,total magnetic moment (Bohr magnetons per cell),calculated total energy (eV per atom)
1,0.0,-4.24
2,0.0,-5.86
3,0.0,-5.35
4,0.0,-2.83
5,0.0,-5.10
6,0.0,-1.01
7,0.0,-6.15
8,0.0,-1.88
9,0.0,-5.32
10,0.5,-5.84
11,0.0,-7.02
12,1.4,-3.20